[1]
{"formula": "CrTeW2", "functional": "PBE-GGA", "state": "optimized geometry", "lattice": [[5.2557, -0.0118, 0.0000], [2.4948, 4.6258, 0.0000], [-3.8753, -2.3070, 2.6986]], "species": ["Cr", "W", "W", "Te"], "frac_coords": [[0.2500, 0.7500, 0.5000], [0.0000, 0.0000, 0.0000], [0.5000, 0.5000, 0.0000], [0.7500, 0.2500, 0.5000]], "raw_formation_energy_ev_per_atom": 0.66, "spacegroup": "No. 139"}

---

[2]
{"formula": "DyPuTlZn", "functional": "PBE-GGA", "state": "optimized geometry", "lattice": [[-1.3377, 5.0459, 0.5757], [-2.5660, 2.4916, -3.8457], [-5.0423, 1.3237, 0.6360]], "species": ["Zn", "Tl", "Pu", "Dy"], "frac_coords": [[0.0000, 0.0000, 0.0000], [0.5000, 0.5000, 0.5000], [0.2500, 0.2500, 0.2500], [0.7500, 0.7500, 0.7500]], "spacegroup": "No. 216"}

---

[3]
{"formula": "CaDyS2", "functional": "PBE-GGA", "state": "optimized geometry", "lattice": [[3.9092, 0.0000, 0.0000], [-1.9546, 3.3855, 0.0000], [0.0000, 0.0000, 13.3972]], "species": ["S", "S", "S", "S", "Ca", "Ca", "Dy", "Dy"], "frac_coords": [[0.6667, 0.3333, 0.6196], [0.6667, 0.3333, 0.8804], [0.3333, 0.6667, 0.1196], [0.3333, 0.6667, 0.3804], [0.6667, 0.3333, 0.2500], [0.3333, 0.6667, 0.7500], [0.0000, 0.0000, 0.0000], [0.0000, 0.0000, 0.5000]], "raw_formation_energy_ev_per_atom": -2.01, "e_above_lowest_polymorph_ev_per_atom": 0.043, "spacegroup": "No. 194"}

---

no.,energy (eV/atom)
1,-9.011
2,-5.780
3,-5.727